Entry 1:
## LaRuRh2Se (PBE)

Data for a relaxed LaRuRh2Se crystal.

Properties
Its space-group type is No. 123. The total energy comes out at -30.6 eV/cell. As for the density of states at the Fermi level: 5.06 states/eV per cell. Its uncorrected formation energy is 0.356 eV per atom.

abc: 4.6313 5.7750 4.6313
angles: 90.00 90.00 90.00
Closest atoms and distances in Å follow each position.
Element x y z (fractional)
1 Ru 0.0000 0.0000 0.0000  4 Rh 2.32
2 Rh 0.0000 0.0000 0.5000  2 Ru 2.32
3 Rh 0.5000 0.0000 0.0000  2 Ru 2.32
4 Se 0.5000 0.5000 0.5000  4 La 3.27
5 La 0.0000 0.5000 0.0000  2 Ru 2.89



Entry 2:
## LaSmRuRh (PBE)

Data for a relaxed LaSmRuRh crystal.

Properties
Its space-group type is No. 216. The total energy comes out at -27.8 eV/cell. As for the density of states at the Fermi level: 2.87 states/eV per cell. As for the formation energy: -0.3937 eV per atom.

abc: 4.9947 4.9947 4.9947
angles: 60.00 60.00 60.00
Closest atoms and distances in Å follow each position.
Element x y z (fractional)
1 Ru 0.7500 0.7500 0.7500  4 La 3.06, 4 Sm 3.06
2 Rh 0.2500 0.2500 0.2500  4 La 3.06, 4 Sm 3.06
3 Sm 0.5000 0.5000 0.5000  4 Ru 3.06, 4 Rh 3.06
4 La 0.0000 0.0000 0.0000  4 Ru 3.06, 4 Rh 3.06



Entry 3:
## LaTbRuRh (PBE)

Data for a relaxed LaTbRuRh crystal.

Properties
Its space-group type is No. 216. The total energy comes out at -28.0 eV/cell. As for the density of states at the Fermi level: 2.98 states/eV per cell. As for the formation energy: -0.4513 eV per atom.

abc: 4.9537 4.9537 4.9537
angles: 60.00 60.00 60.00
Closest atoms and distances in Å follow each position.
Element x y z (fractional)
1 Ru 0.7500 0.7500 0.7500  4 Tb 3.03, 4 La 3.03
2 Rh 0.2500 0.2500 0.2500  4 Tb 3.03, 4 La 3.03
3 Tb 0.5000 0.5000 0.5000  4 Ru 3.03, 4 Rh 3.03
4 La 0.0000 0.0000 0.0000  4 Ru 3.03, 4 Rh 3.03



Entry 4:
## La6Tl2RuRh (PBE)

Data for a relaxed La6Tl2RuRh crystal.

Properties
Its space-group type is No. 59. The total energy comes out at -109.0 eV/cell. As for the density of states at the Fermi level: 23.31 states/eV per cell. As for the formation energy: -0.3583 eV per atom.

abc: 7.7891 7.7981 11.0594
angles: 90.00 90.00 90.00
Closest atoms and distances in Å follow each position.
Element x y z (fractional)
1 La 0.5000 0.2471 0.2484  1 Ru 2.75, 1 Rh 2.78
2 La 0.5000 0.2471 0.7516  1 Ru 2.75, 1 Rh 2.78
3 La 0.0000 0.7529 0.2516  1 Ru 2.75, 1 Rh 2.78
4 La 0.0000 0.7529 0.7484  1 Ru 2.75, 1 Rh 2.78
5 La 0.2446 0.0041 0.5000  1 Rh 2.79, 1 Ru 2.81
6 La 0.7554 0.0041 0.5000  1 Rh 2.79, 1 Ru 2.81
7 La 0.2509 0.5073 0.5000  1 Ru 2.66, 1 Rh 2.77
8 La 0.7491 0.5073 0.5000  1 Ru 2.66, 1 Rh 2.77
9 La 0.7509 0.4927 0.0000  1 Ru 2.66, 1 Rh 2.77
10 La 0.2491 0.4927 0.0000  1 Ru 2.66, 1 Rh 2.77
11 La 0.2554 0.9959 0.0000  1 Rh 2.79, 1 Ru 2.81
12 La 0.7446 0.9959 0.0000  1 Rh 2.79, 1 Ru 2.81
13 Tl 0.5000 0.7560 0.2496  12 La 3.83-3.97
14 Tl 0.0000 0.2440 0.7496  12 La 3.83-3.97
15 Tl 0.5000 0.7560 0.7504  12 La 3.83-3.97
16 Tl 0.0000 0.2440 0.2504  12 La 3.83-3.97
17 Ru 0.0000 0.7389 0.5000  6 La 2.66-2.81
18 Ru 0.5000 0.2611 0.0000  6 La 2.66-2.81
19 Rh 0.5000 0.2542 0.5000  6 La 2.77-2.79
20 Rh 0.0000 0.7458 0.0000  6 La 2.77-2.79



Entry 5:
## LaTmRuRh (PBE)

Data for a relaxed LaTmRuRh crystal.

Properties
Its space-group type is No. 216. The total energy comes out at -28.0 eV/cell. As for the density of states at the Fermi level: 3.02 states/eV per cell. As for the formation energy: -0.5008 eV per atom.

abc: 4.9113 4.9113 4.9113
angles: 60.00 60.00 60.00
Closest atoms and distances in Å follow each position.
Element x y z (fractional)
1 Ru 0.7500 0.7500 0.7500  4 Tm 3.01, 4 La 3.01
2 Tm 0.0000 0.0000 0.0000  4 Ru 3.01, 4 Rh 3.01
3 Rh 0.2500 0.2500 0.2500  4 La 3.01, 4 Tm 3.01
4 La 0.5000 0.5000 0.5000  4 Ru 3.01, 4 Rh 3.01



Entry 6:
## La2VRuRh (PBE)

Data for a relaxed La2VRuRh crystal.

Properties
Its space-group type is No. 123. The total energy comes out at -34.1 eV/cell. As for the density of states at the Fermi level: 4.22 states/eV per cell. As for the formation energy: 0.3087 eV per atom.

abc: 5.4000 5.4000 4.5523
angles: 90.00 90.00 90.00
Closest atoms and distances in Å follow each position.
Element x y z (fractional)
1 Ru 0.0000 0.0000 0.0000  2 V 2.28
2 V 0.0000 0.0000 0.5000  2 Ru 2.28
3 Rh 0.5000 0.5000 0.5000  8 La 3.53, 4 V 3.82
4 La 0.0000 0.5000 0.0000  2 Ru 2.70
5 La 0.5000 0.0000 0.0000  2 Ru 2.70



Entry 7:
## LaRuRh2W (PBE)

Data for a relaxed LaRuRh2W crystal.

Properties
Its space-group type is No. 123. The total energy comes out at -38.1 eV/cell. As for the density of states at the Fermi level: 6.75 states/eV per cell. As for the formation energy: 0.7440 eV per atom.

abc: 4.8493 4.6326 4.8493
angles: 90.00 90.00 90.00
Closest atoms and distances in Å follow each position.
Element x y z (fractional)
1 Ru 0.0000 0.0000 0.0000  2 W 2.32, 4 Rh 2.42
2 Rh 0.0000 0.0000 0.5000  2 Ru 2.42
3 Rh 0.5000 0.0000 0.0000  2 Ru 2.42
4 W 0.0000 0.5000 0.0000  2 Ru 2.32
5 La 0.5000 0.5000 0.5000  8 Rh 3.35, 4 W 3.43



Entry 8:
## LaYRuRh (PBE)

Data for a relaxed LaYRuRh crystal.

Properties
Its space-group type is No. 216. The total energy comes out at -29.8 eV/cell. As for the density of states at the Fermi level: 2.93 states/eV per cell. As for the formation energy: -0.4522 eV per atom.

abc: 4.9500 4.9500 4.9500
angles: 60.00 60.00 60.00
Closest atoms and distances in Å follow each position.
Element x y z (fractional)
1 Y 0.2500 0.2500 0.2500  4 Rh 3.03, 4 Ru 3.03
2 Ru 0.5000 0.5000 0.5000  4 Y 3.03, 4 La 3.03
3 Rh 0.0000 0.0000 0.0000  4 La 3.03, 4 Y 3.03
4 La 0.7500 0.7500 0.7500  4 Ru 3.03, 4 Rh 3.03